i.
La7Tb3Dy: optimized geometry, PBE.

Geometry as POSCAR:
```
La7Tb3Dy
1.0
3.0482 9.6943 -1.1760
-8.5875 -5.6272 2.3573
7.8362 5.1400 9.6415
La Tb Dy
14 6 2
Direct
0.2532 0.9680 0.3351
0.4811 0.8867 0.5570
0.0521 0.3424 0.9786
0.7685 0.8027 0.2916
0.3570 0.2316 0.1678
0.6818 0.1150 0.8384
0.0529 0.3428 0.4785
0.7684 0.8028 0.7918
0.6825 0.1155 0.3385
0.3570 0.2323 0.6681
0.2524 0.9671 0.8346
0.4803 0.8864 0.0573
0.9437 0.6393 0.5221
0.9431 0.6388 0.0219
0.7924 0.4402 0.2439
0.9437 0.0210 0.5704
0.9432 0.0205 0.0704
0.2368 0.5589 0.7558
0.2373 0.5591 0.2557
0.7916 0.4393 0.7437
0.4901 0.4943 0.9893
0.4908 0.4952 0.4896
```

Output
size of the total moment	0.00	μB per atom
space-group type	P1
mass density	6.87	g cm⁻³

***

ii.
La7Tb3Dy: optimized geometry, PBE.

Geometry as POSCAR:
```
La7Tb3Dy
1.0
6.0171 -0.1727 -0.2211
-2.7397 8.1666 1.0495
-2.7397 -0.9617 8.1774
Tb La Dy
3 7 1
Direct
0.0000 0.2050 0.7950
0.5000 0.0000 0.0000
0.0000 0.7950 0.2050
0.3054 0.5949 0.0166
0.0000 0.5000 0.5000
0.3054 0.0166 0.5949
0.7885 0.7893 0.7893
0.6946 0.4051 0.9834
0.6946 0.9834 0.4051
0.2115 0.2107 0.2107
0.5000 0.5000 0.5000
```

Output
size of the total moment	0.00	μB per atom
space-group type	Immm
mass density	6.71	g cm⁻³

***

Most stable of them? i.

***

i.
LaTb3Dy5: optimized geometry, PBE.

Geometry as POSCAR:
```
LaTb3Dy5
1.0
9.0264 1.3392 0.9644
3.7591 8.3150 0.9644
5.1330 3.8759 10.0603
Tb Dy La
6 10 2
Direct
0.7452 0.7452 0.1911
0.0000 0.0000 0.0000
0.7249 0.7249 0.7094
0.0000 0.0000 0.5000
0.2548 0.2548 0.8089
0.2751 0.2751 0.2906
0.4445 0.4445 0.4021
0.3176 0.6824 0.0000
0.5555 0.5555 0.5979
0.2954 0.9337 0.1726
0.0663 0.7046 0.8274
0.3487 0.3487 0.9699
0.7046 0.0663 0.8274
0.6824 0.3176 0.0000
0.6513 0.6513 0.0301
0.9337 0.2954 0.1726
0.8580 0.8580 0.3564
0.1420 0.1420 0.6436
```

Output
size of the total moment	0.00	μB per atom
space-group type	C2/m
mass density	7.29	g cm⁻³

***

ii.
LaTb3Dy5: optimized geometry, PBE.

Geometry as POSCAR:
```
LaTb3Dy5
1.0
-5.4583 2.6115 -0.3245
2.4840 -2.9894 -9.2623
-4.3879 -8.4405 5.8814
Tb Dy La
6 10 2
Direct
0.6033 0.6474 0.6339
0.3967 0.3526 0.3661
0.0000 0.0000 0.0000
0.0441 0.6474 0.1339
0.0000 0.0000 0.5000
0.9559 0.3526 0.8661
0.0891 0.6683 0.8009
0.3747 0.0000 0.7500
0.6253 0.0000 0.2500
0.9109 0.3317 0.1991
0.1039 0.6636 0.4710
0.8961 0.3364 0.5290
0.4403 0.3364 0.0290
0.5597 0.6636 0.9710
0.5792 0.6683 0.3009
0.4208 0.3317 0.6991
0.1423 0.0000 0.2500
0.8577 0.0000 0.7500
```

Output
size of the total moment	0.00	μB per atom
space-group type	C2/c
mass density	7.88	g cm⁻³

***

Most stable of them? ii.

***

i.
La8Tb2Dy: optimized geometry, PBE.

Geometry as POSCAR:
```
La8Tb2Dy
1.0
-4.6658 3.1054 -2.3655
-3.7170 -5.1580 7.2180
6.9896 6.4664 1.3606
Tb La Dy
2 8 1
Direct
0.0000 0.3107 0.6893
0.0000 0.6893 0.3107
0.7015 0.4201 0.4201
0.2985 0.5799 0.5799
0.1835 0.0957 0.3333
0.5000 0.2055 0.7945
0.8165 0.6667 0.9043
0.5000 0.7945 0.2055
0.1835 0.3333 0.0957
0.8165 0.9043 0.6667
0.5000 0.0000 0.0000
```

Output
size of the total moment	0.00	μB per atom
space-group type	C2/m
mass density	6.70	g cm⁻³

***

ii.
La8Tb2Dy: optimized geometry, PBE.

Geometry as POSCAR:
```
La8Tb2Dy
1.0
-4.3401 -0.7323 2.8282
-4.2433 -1.5096 -6.9024
5.3900 -7.9801 1.3660
La Dy Tb
8 1 2
Direct
0.9532 0.2727 0.9064
0.3185 0.0879 0.6369
0.5916 0.4533 0.1832
0.6815 0.9121 0.3631
0.1372 0.1848 0.2744
0.4084 0.5467 0.8168
0.8628 0.8152 0.7256
0.0468 0.7273 0.0936
0.5000 0.0000 0.0000
0.7735 0.3654 0.5471
0.2265 0.6346 0.4529
```

Output
size of the total moment	0.00	μB per atom
space-group type	C2/m
mass density	6.78	g cm⁻³

***

Most stable of them? ii.

***

i.
LaTb7Dy4: optimized geometry, PBE.

Geometry as POSCAR:
```
LaTb7Dy4
1.0
-2.7234 4.0586 -3.3358
-11.0936 -0.4713 3.2349
-0.3707 6.1973 2.5941
Tb La Dy
7 1 4
Direct
0.2098 0.0786 0.5018
0.6335 0.4953 0.2377
0.7902 0.9214 0.4982
0.9428 0.3350 0.7794
0.0572 0.6650 0.2206
0.5000 0.0000 0.0000
0.3665 0.5047 0.7623
0.0000 0.0000 0.0000
0.6301 0.2251 0.5147
0.2540 0.3148 0.1773
0.7460 0.6852 0.8227
0.3699 0.7749 0.4853
```

Output
size of the total moment	0.00	μB per atom
space-group type	C2/m
mass density	7.90	g cm⁻³

***

ii.
LaTb7Dy4: optimized geometry, PBE.

Geometry as POSCAR:
```
LaTb7Dy4
1.0
-7.0796 -0.0316 1.3181
-1.0529 -2.2849 -5.7026
-6.8168 -8.8234 2.5198
Dy Tb La
4 7 1
Direct
0.4127 0.7215 0.3355
0.5873 0.2785 0.6645
0.1655 0.2204 0.3345
0.8345 0.7796 0.6655
0.0844 0.2790 0.6639
0.6649 0.2229 0.3353
0.5000 0.0000 0.0000
0.3351 0.7771 0.6647
0.2523 0.5003 0.9998
0.7477 0.4997 0.0002
0.9156 0.7210 0.3361
0.0000 0.0000 0.0000
```

Output
size of the total moment	0.00	μB per atom
space-group type	P-1
mass density	8.15	g cm⁻³

***

Most stable of them? ii.

***

i.
La2Tb5Dy12: optimized geometry, PBE.

Geometry as POSCAR:
```
La2Tb5Dy12
1.0
-3.1887 8.6029 1.2698
-2.6173 -4.2771 -11.3762
-2.8010 -2.1884 7.7925
Tb Dy La
5 12 2
Direct
0.0000 0.0000 0.5000
0.3018 0.6036 0.6127
0.6982 0.3964 0.3873
0.7681 0.5362 0.1125
0.2319 0.4638 0.8875
0.0933 0.1866 0.3040
0.9067 0.8134 0.6960
0.1835 0.7485 0.3994
0.4410 0.8820 0.2108
0.5590 0.1180 0.7892
0.3366 0.3132 0.0680
0.9766 0.3132 0.0680
0.0234 0.6868 0.9320
0.8165 0.2515 0.6006
0.4351 0.2515 0.6006
0.6634 0.6868 0.9320
0.5649 0.7485 0.3994
0.6862 0.0000 0.0000
0.3138 0.0000 0.0000
```

Output
size of the total moment	0.00	μB per atom
space-group type	C2/m
mass density	8.00	g cm⁻³

***

ii.
La2Tb5Dy12: optimized geometry, PBE.

Geometry as POSCAR:
```
La2Tb5Dy12
1.0
6.0694 0.3999 0.7600
-3.0115 8.3835 -7.8843
0.9347 -2.3510 14.0450
Dy Tb La
12 5 2
Direct
0.8007 0.5273 0.2379
0.0126 0.7345 0.1250
0.9382 0.7857 0.6012
0.6112 0.8369 0.0742
0.3888 0.1631 0.9258
0.2189 0.4252 0.2912
0.1993 0.4727 0.7621
0.9874 0.2655 0.8750
0.4928 0.8857 0.5550
0.7811 0.5748 0.7088
0.5072 0.1143 0.4450
0.0618 0.2143 0.3988
0.4045 0.6415 0.1908
0.3590 0.6796 0.6545
0.0000 0.0000 0.5000
0.6410 0.3204 0.3455
0.5955 0.3585 0.8092
0.2072 0.9475 0.0268
0.7928 0.0525 0.9732
```

Output
size of the total moment	0.00	μB per atom
space-group type	P-1
mass density	8.15	g cm⁻³

***

Most stable of them? ii.

***

i.
La5Tb3Dy: optimized geometry, PBE.

Geometry as POSCAR:
```
La5Tb3Dy
1.0
9.4408 0.0000 0.0000
0.0000 9.4408 0.0000
-4.7204 -4.7204 7.2140
Dy La Tb
2 10 6
Direct
0.2500 0.7500 0.5000
0.7500 0.2500 0.5000
0.0664 0.5664 0.7302
0.0000 0.0000 0.0000
0.1639 0.0664 0.7302
0.5000 0.5000 0.0000
0.8361 0.9336 0.2698
0.4336 0.3361 0.2698
0.9336 0.4336 0.2698
0.6639 0.1639 0.7302
0.3361 0.8361 0.2698
0.5664 0.6639 0.7302
0.7500 0.7500 0.5000
0.1094 0.3906 0.0000
0.6094 0.1094 0.0000
0.8906 0.6094 0.0000
0.3906 0.8906 0.0000
0.2500 0.2500 0.5000
```

Output
size of the total moment	0.00	μB per atom
space-group type	I4/mcm
mass density	6.89	g cm⁻³

***

ii.
La5Tb3Dy: optimized geometry, PBE.

Geometry as POSCAR:
```
La5Tb3Dy
1.0
6.5811 0.0000 0.0000
-3.2905 10.3262 -4.6409
0.0000 -3.3027 11.0942
La Tb Dy
10 6 2
Direct
0.3520 0.3470 0.9859
0.6480 0.6530 0.0141
0.8578 0.3290 0.1181
0.4006 0.0000 0.7500
0.9950 0.3470 0.4859
0.0050 0.6530 0.5141
0.4712 0.3290 0.6181
0.5288 0.6710 0.3819
0.1422 0.6710 0.8819
0.5994 0.0000 0.2500
0.5523 0.6800 0.6945
0.1277 0.6800 0.1945
0.0000 0.0000 0.0000
0.4477 0.3200 0.3055
0.8723 0.3200 0.8055
0.0000 0.0000 0.5000
0.1278 0.0000 0.2500
0.8722 0.0000 0.7500
```

Output
size of the total moment	0.00	μB per atom
space-group type	C2/c
mass density	6.78	g cm⁻³

***

Most stable of them? ii.

***

i.
La2Tb3Dy3: optimized geometry, PBE.

Geometry as POSCAR:
```
La2Tb3Dy3
1.0
3.6067 0.0000 0.0000
-1.8034 8.8176 0.0000
0.0000 0.0000 16.9323
Tb Dy La
6 6 4
Direct
0.3563 0.7127 0.4890
0.3563 0.7127 0.0110
0.6437 0.2873 0.9890
0.3945 0.7891 0.2500
0.6437 0.2873 0.5110
0.6055 0.2109 0.7500
0.0037 0.0074 0.3998
0.0037 0.0074 0.1002
0.9963 0.9926 0.8998
0.5805 0.1609 0.2500
0.9963 0.9926 0.6002
0.4195 0.8391 0.7500
0.2234 0.4468 0.3486
0.2234 0.4468 0.1514
0.7766 0.5532 0.8486
0.7766 0.5532 0.6514
```

Output
size of the total moment	0.00	μB per atom
space-group type	Cmcm
mass density	7.66	g cm⁻³

***

ii.
La2Tb3Dy3: optimized geometry, PBE.

Geometry as POSCAR:
```
La2Tb3Dy3
1.0
5.1131 0.0000 0.0000
0.0000 5.1130 -0.0012
-2.5566 -2.5588 10.1111
Dy La Tb
3 2 3
Direct
0.0000 0.5000 0.0000
0.1218 0.1219 0.2436
0.8782 0.8781 0.7564
0.7504 0.2504 0.5007
0.2496 0.7496 0.4993
0.3782 0.3781 0.7564
0.5000 0.0000 0.0000
0.6218 0.6219 0.2436
```

Output
size of the total moment	0.00	μB per atom
space-group type	Immm
mass density	7.80	g cm⁻³

***

Most stable of them? ii.

***

i.
LaTb2Dy6: optimized geometry, PBE.

Geometry as POSCAR:
```
LaTb2Dy6
1.0
5.0531 0.0000 0.2263
0.0000 10.7066 0.0000
-0.4789 0.0000 10.6956
Dy Tb La
12 4 2
Direct
0.0001 0.6688 0.8313
0.0001 0.6650 0.5001
0.0000 0.9999 0.8350
0.4999 0.1650 0.9999
0.5000 0.4999 0.6650
0.0000 0.0001 0.1650
0.9999 0.3350 0.4999
0.5000 0.5001 0.3350
0.5001 0.8350 0.0001
0.4999 0.1688 0.6687
0.5001 0.8312 0.3313
0.9999 0.3312 0.1687
0.9999 0.3315 0.8314
0.4999 0.1685 0.3314
0.5001 0.8315 0.6686
0.0001 0.6685 0.1686
0.5000 0.5000 0.0000
0.0000 0.0000 0.5000
```

Output
size of the total moment	0.00	μB per atom
space-group type	P4_2/mnm
mass density	8.20	g cm⁻³

***

ii.
LaTb2Dy6: optimized geometry, PBE.

Geometry as POSCAR:
```
LaTb2Dy6
1.0
-0.1209 3.3811 0.5905
-2.7979 0.7180 5.3035
17.2782 2.3750 -0.0754
La Dy Tb
1 6 2
Direct
0.5000 0.5000 0.5000
0.7729 0.1875 0.2667
0.4359 0.1899 0.9383
0.2271 0.8125 0.7333
0.8987 0.8086 0.3939
0.5641 0.8101 0.0617
0.1013 0.1914 0.6061
0.8345 0.4970 0.8340
0.1655 0.5030 0.1660
```

Output
size of the total moment	0.00	μB per atom
space-group type	C2/m
mass density	7.94	g cm⁻³

***

Most stable of them? i.

***

i.
LaTb5Dy4: optimized geometry, PBE.

Geometry as POSCAR:
```
LaTb5Dy4
1.0
3.5360 -0.0974 -0.3896
-0.8398 10.5223 -2.1569
0.8740 -1.0000 8.8435
Dy Tb La
4 5 1
Direct
0.1013 0.2911 0.1982
0.5686 0.1225 0.4176
0.8987 0.7089 0.8018
0.4314 0.8775 0.5824
0.2174 0.4196 0.6067
0.5000 0.5000 0.0000
0.9897 0.8175 0.2157
0.7826 0.5804 0.3933
0.0103 0.1825 0.7843
0.5000 0.0000 0.0000
```

Output
size of the total moment	0.00	μB per atom
space-group type	P-1
mass density	8.11	g cm⁻³

***

ii.
LaTb5Dy4: optimized geometry, PBE.

Geometry as POSCAR:
```
LaTb5Dy4
1.0
6.2873 0.0000 0.0000
3.1436 7.2448 0.0000
3.1436 0.0000 7.2448
Dy Tb La
4 5 1
Direct
0.5040 0.6002 0.3006
0.1042 0.3006 0.3998
0.4049 0.3998 0.6994
0.8046 0.6994 0.6002
0.8004 0.3803 0.9142
0.0950 0.6197 0.0858
0.1807 0.9142 0.6197
0.6802 0.0000 0.0000
0.7146 0.0858 0.3803
0.2216 0.0000 0.0000
```

Output
size of the total moment	0.00	μB per atom
space-group type	I4
mass density	7.97	g cm⁻³

***

Most stable of them? i.